The following is a PBE calculation of crystalline Pm4SmZn at its relaxed geometry, from Alexandria. Values from VASP.

Quantum ESPRESSO input file:
```
&SYSTEM
  ibrav = 0, nat = 6, ntyp = 3
/
ATOMIC_SPECIES
Pm 145.00 Pm.upf
Sm 150.36 Sm.upf
Zn 65.41 Zn.upf
ATOMIC_POSITIONS crystal
Pm 0.369 0.963 0.201
Pm 0.633 0.032 0.796
Pm 0.781 0.578 0.638
Pm 0.222 0.417 0.358
Sm 0.502 0.497 0.998
Zn 0.001 0.998 0.499
CELL_PARAMETERS angstrom
-0.658 2.889 -2.285
0.734 -2.214 -6.076
-6.960 -5.126 -1.420
```

Output
* symmetry: Cm, No. 8
* Fermi-level density of states: 7.6 states/eV per cell
* DFT formation energy: -0.080 eV per atom
* VASP energy: -25.5 eV per cell
* calculated volume: 31.24 Å³ per atom
* magnetic moment: 0.0000 μB/atom
* polymorph energy (0 for the lowest one): 16 meV/atom

---

The following is a PBE calculation of crystalline PmSmZn4 at its relaxed geometry, from Alexandria. Values from VASP.

Quantum ESPRESSO input file:
```
&SYSTEM
  ibrav = 0, nat = 6, ntyp = 3
/
ATOMIC_SPECIES
Pm 145.00 Pm.upf
Sm 150.36 Sm.upf
Zn 65.41 Zn.upf
ATOMIC_POSITIONS crystal
Pm 0.539 0.461 0.461
Sm 0.462 0.038 0.038
Zn 0.165 0.640 0.030
Zn 0.835 0.861 0.470
Zn 0.835 0.470 0.861
Zn 0.165 0.030 0.640
CELL_PARAMETERS angstrom
4.198 0.000 1.799
2.008 5.262 1.113
0.024 -0.106 5.740
```

Output
* symmetry: Imm2, No. 44
* Fermi-level density of states: 5.4 states/eV per cell
* DFT formation energy: -0.368 eV per atom
* VASP energy: -16.8 eV per cell
* calculated volume: 21.12 Å³ per atom
* magnetic moment: 0.0000 μB/atom
* polymorph energy (0 for the lowest one): 0 meV/atom

---

The following is a PBE calculation of crystalline PmSm2Zn2 at its relaxed geometry, from Alexandria. Values from VASP.

Quantum ESPRESSO input file:
```
&SYSTEM
  ibrav = 0, nat = 10, ntyp = 3
/
ATOMIC_SPECIES
Pm 145.00 Pm.upf
Sm 150.36 Sm.upf
Zn 65.41 Zn.upf
ATOMIC_POSITIONS crystal
Pm 0.856 0.750 0.716
Pm 0.144 0.250 0.284
Sm 0.046 0.750 0.092
Sm 0.954 0.250 0.908
Sm 0.232 0.750 0.465
Sm 0.768 0.250 0.535
Zn 0.640 0.750 0.280
Zn 0.360 0.250 0.720
Zn 0.451 0.750 0.903
Zn 0.549 0.250 0.097
CELL_PARAMETERS angstrom
3.659 0.000 -0.491
0.000 5.263 0.000
-0.040 0.000 13.628
```

Output
* symmetry: P2_1/m, No. 11
* Fermi-level density of states: 11.4 states/eV per cell
* DFT formation energy: -0.246 eV per atom
* VASP energy: -35.9 eV per cell
* calculated volume: 26.24 Å³ per atom
* magnetic moment: 0.0000 μB/atom
* polymorph energy (0 for the lowest one): 0 meV/atom

---

The following is a PBE calculation of crystalline Pm3SmZn4 at its relaxed geometry, from Alexandria. Values from VASP.

Quantum ESPRESSO input file:
```
&SYSTEM
  ibrav = 0, nat = 16, ntyp = 3
/
ATOMIC_SPECIES
Zn 65.41 Zn.upf
Sm 150.36 Sm.upf
Pm 145.00 Pm.upf
ATOMIC_POSITIONS crystal
Zn 0.500 0.749 0.000
Zn 0.500 0.749 0.500
Zn 0.500 0.251 0.000
Zn 0.500 0.251 0.500
Zn 0.999 0.749 0.750
Zn 0.001 0.749 0.250
Zn 0.001 0.251 0.250
Zn 0.999 0.251 0.750
Sm 0.000 0.500 0.000
Sm 0.000 0.500 0.500
Pm 0.000 0.000 0.000
Pm 0.000 0.000 0.500
Pm 0.499 0.000 0.750
Pm 0.501 0.000 0.250
Pm 0.499 0.500 0.750
Pm 0.501 0.500 0.250
CELL_PARAMETERS angstrom
5.157 0.000 0.000
0.000 7.331 0.000
0.000 0.000 10.311
```

Output
* symmetry: Pmma, No. 51
* Fermi-level density of states: 17.5 states/eV per cell
* DFT formation energy: -0.317 eV per atom
* VASP energy: -53.2 eV per cell
* calculated volume: 24.36 Å³ per atom
* magnetic moment: 0.0001 μB/atom

---

The following is a PBE calculation of crystalline Pm2Sm3Zn3 at its relaxed geometry, from Alexandria. Values from VASP.

Quantum ESPRESSO input file:
```
&SYSTEM
  ibrav = 0, nat = 8, ntyp = 3
/
ATOMIC_SPECIES
Pm 145.00 Pm.upf
Sm 150.36 Sm.upf
Zn 65.41 Zn.upf
ATOMIC_POSITIONS crystal
Pm 0.729 0.229 0.457
Pm 0.271 0.771 0.543
Sm 0.616 0.616 0.232
Sm 0.384 0.384 0.768
Sm 0.500 0.000 0.000
Zn 0.114 0.114 0.229
Zn 0.000 0.500 0.000
Zn 0.886 0.886 0.771
CELL_PARAMETERS angstrom
-3.094 1.976 0.490
-1.982 -3.851 3.010
6.928 5.613 7.120
```

Output
* symmetry: Immm, No. 71
* Fermi-level density of states: 9.5 states/eV per cell
* DFT formation energy: -0.226 eV per atom
* VASP energy: -29.3 eV per cell
* calculated volume: 26.73 Å³ per atom
* magnetic moment: 0.0000 μB/atom

---

The following is a PBE calculation of crystalline Pm2SmZn at its relaxed geometry, from Alexandria. Values from VASP.

Quantum ESPRESSO input file:
```
&SYSTEM
  ibrav = 0, nat = 4, ntyp = 3
/
ATOMIC_SPECIES
Zn 65.41 Zn.upf
Sm 150.36 Sm.upf
Pm 145.00 Pm.upf
ATOMIC_POSITIONS crystal
Zn 0.000 0.000 0.000
Sm 0.500 0.500 0.500
Pm 0.086 0.086 0.741
Pm 0.914 0.914 0.259
CELL_PARAMETERS angstrom
-3.369 0.954 0.421
-2.568 -1.877 -1.523
-2.723 -7.274 9.471
```

Output
* symmetry: R-3m, No. 166
* Fermi-level density of states: 4.9 states/eV per cell
* DFT formation energy: 0.256 eV per atom
* VASP energy: -14.5 eV per cell
* calculated volume: 32.52 Å³ per atom
* magnetic moment: 0.0000 μB/atom
* polymorph energy (0 for the lowest one): 407 meV/atom

---

The following is a PBE calculation of crystalline PmSm2Zn2 at its relaxed geometry, from Alexandria. Values from VASP.

Quantum ESPRESSO input file:
```
&SYSTEM
  ibrav = 0, nat = 10, ntyp = 3
/
ATOMIC_SPECIES
Pm 145.00 Pm.upf
Sm 150.36 Sm.upf
Zn 65.41 Zn.upf
ATOMIC_POSITIONS crystal
Pm 0.250 0.637 0.271
Pm 0.750 0.363 0.729
Sm 0.250 0.943 0.891
Sm 0.750 0.057 0.109
Sm 0.250 0.264 0.526
Sm 0.750 0.736 0.474
Zn 0.250 0.833 0.664
Zn 0.750 0.167 0.336
Zn 0.250 0.522 0.047
Zn 0.750 0.478 0.953
CELL_PARAMETERS angstrom
-2.391 -3.563 -1.198
3.845 -2.505 -0.224
-3.352 -2.047 12.777
```

Output
* symmetry: P2_1/m, No. 11
* Fermi-level density of states: 11.7 states/eV per cell
* DFT formation energy: -0.159 eV per atom
* VASP energy: -35.1 eV per cell
* calculated volume: 26.95 Å³ per atom
* magnetic moment: 0.0000 μB/atom
* polymorph energy (0 for the lowest one): 87 meV/atom

---

The following is a PBE calculation of crystalline Pm5SmZn4 at its relaxed geometry, from Alexandria. Values from VASP.

Quantum ESPRESSO input file:
```
&SYSTEM
  ibrav = 0, nat = 10, ntyp = 3
/
ATOMIC_SPECIES
Pm 145.00 Pm.upf
Sm 150.36 Sm.upf
Zn 65.41 Zn.upf
ATOMIC_POSITIONS crystal
Pm 0.500 0.500 0.131
Pm 0.500 0.500 0.316
Pm 0.500 0.500 0.500
Pm 0.500 0.500 0.684
Pm 0.500 0.500 0.869
Sm 0.000 0.000 0.000
Zn 0.000 0.000 0.222
Zn 0.000 0.000 0.407
Zn 0.000 0.000 0.593
Zn 0.000 0.000 0.778
CELL_PARAMETERS angstrom
3.656 0.000 0.000
0.000 3.656 0.000
0.000 0.000 19.784
```

Output
* symmetry: P4/mmm, No. 123
* Fermi-level density of states: 11.6 states/eV per cell
* DFT formation energy: -0.250 eV per atom
* VASP energy: -36.1 eV per cell
* calculated volume: 26.45 Å³ per atom
* magnetic moment: 0.0000 μB/atom